No. 1
The following is a DFT calculation (PBE-GGA) of an optimized crystal structure of In3Hg12Pb.

Lattice parameters (Å, degrees): 5.625 5.719 13.559 90.00 90.00 90.00
Space group Pmmm (No. 47)
Unique sites:
1 In 0.000 0.000 0.000 x1
2 In 0.000 0.000 0.249 x2
3 Hg 0.000 0.500 0.124 x2
4 Hg 0.000 0.500 0.372 x2
5 Hg 0.500 0.000 0.124 x2
6 Hg 0.500 0.000 0.371 x2
7 Hg 0.500 0.500 0.000 x1
8 Hg 0.500 0.500 0.251 x2
9 Hg 0.500 0.500 0.500 x1
10 Pb 0.000 0.000 0.500 x1

Results
Raw total energy ... -15.26 eV for the cell shown

***

No. 2
The following is a DFT calculation (PBE-GGA) of an optimized crystal structure of YBe2Cu3.

Lattice parameters (Å, degrees): 9.129 7.705 4.697 90.00 90.00 90.00
Space group Cmcm (No. 63)
Unique sites:
1 Y 0.000 0.175 0.250 x4
2 Be 0.216 0.500 0.000 x8
3 Cu 0.000 0.447 0.750 x4
4 Cu 0.190 0.225 0.750 x8

Results
Raw total energy ... -109.03 eV for the cell shown

***

No. 3
The following is a DFT calculation (PBE-GGA) of an optimized crystal structure of CdS8Cl2.

Lattice parameters (Å, degrees): 13.183 7.901 8.565 90.00 126.82 90.00
Space group C2/m (No. 12)
Unique sites:
1 Cd 0.000 0.000 0.000 x2
2 S 0.004 0.500 0.757 x4
3 S 0.147 0.310 0.940 x8
4 S 0.249 0.500 0.151 x4
5 Cl 0.137 0.000 0.340 x4

Results
Raw total energy ... -73.87 eV for the cell shown
E_form (uncorrected) ... 0.063 eV/atom

***

No. 4
The following is a DFT calculation (PBE-GGA) of an optimized crystal structure of K4Sm3HoTe8.

Lattice parameters (Å, degrees): 9.0988 9.0988 24.7489 90.00 90.00 120.00
Space group R-3m (No. 166, hexagonal axes)
Unique sites:
1 K 0.0000 0.0000 0.0000 x3
2 K 0.0000 0.5000 0.0000 x9
3 Sm 0.0000 0.5000 0.5000 x9
4 Ho 0.0000 0.0000 0.5000 x3
5 Te 0.0000 0.0000 0.2377 x6
6 Te 0.0052 0.5026 0.2369 x18

Results
Raw total energy ... -212.25 eV for the cell shown
E_form (uncorrected) ... -1.406 eV/atom

***

No. 5
The following is a DFT calculation (PBE-GGA) of an optimized crystal structure of Rb2CeTeSe4.

Lattice parameters (Å, degrees): 12.337 12.186 8.839 90.00 121.39 90.00
Space group C2/c (No. 15)
Unique sites:
1 Rb 0.000 0.000 0.000 x4
2 Rb 0.250 0.250 0.000 x4
3 Ce 0.000 0.500 0.000 x4
4 Te 0.250 0.250 0.500 x4
5 Se 0.046 0.272 0.557 x8
6 Se 0.187 0.474 0.387 x8

Results
Raw total energy ... -133.44 eV for the cell shown
E_form (uncorrected) ... -1.051 eV/atom

***

No. 6
The following is a DFT calculation (PBE-GGA) of an optimized crystal structure of Cs7K12Rb.

Lattice parameters (Å, degrees): 22.4651 22.4651 12.3082 90.00 90.00 120.00
Space group R-3 (No. 148, hexagonal axes)
Unique sites:
1 Cs 0.0000 0.0000 0.0000 x3
2 Cs 0.0041 0.1805 0.6740 x18
3 K 0.0078 0.2588 0.2928 x18
4 K 0.0748 0.5520 0.6691 x18
5 Rb 0.0000 0.0000 0.5000 x3

Results
Raw total energy ... -57.99 eV for the cell shown